(1)
The following is a PBE-GGA calculation of crystalline TbHoEr4 at its relaxed geometry, from the Alexandria database.

Calculated values
Symmetry: C2/c
Formation enthalpy at 0 K in meV/atom: 153
Final energy in eV per cell: -53.079
Crystal system: monoclinic
Energy above the most stable polymorph in this dataset in eV/atom: 0.076

Geometry as POSCAR:
```
TbHoEr4
1.0
4.354 -7.254 0.000
4.354 7.254 0.000
-2.215 0.000 5.975
Tb Ho Er
2 2 8
direct
0.086 0.914 0.750
0.914 0.086 0.250
0.500 0.500 0.250
0.500 0.500 0.750
0.075 0.332 0.879
0.211 0.602 0.464
0.332 0.075 0.379
0.398 0.789 0.036
0.602 0.211 0.964
0.668 0.925 0.621
0.789 0.398 0.536
0.925 0.668 0.121
```


(2)
The following is a PBE-GGA calculation of crystalline TlIr2W at its relaxed geometry, from the Alexandria database.

Calculated values
Symmetry: Cm
Formation enthalpy at 0 K in meV/atom: 391
Final energy in eV per cell: -62.956
Crystal system: monoclinic
Energy above the most stable polymorph in this dataset in eV/atom: 0.320

Geometry as POSCAR:
```
TlIr2W
1.0
9.514 0.000 0.000
0.000 2.904 0.000
-0.850 0.000 4.845
Tl Ir W
2 4 2
direct
0.000 0.000 0.000
0.500 0.500 0.000
0.000 0.500 0.507
0.255 0.500 0.217
0.500 0.000 0.507
0.755 0.000 0.217
0.237 0.000 0.682
0.737 0.500 0.682
```


energy above the most stable polymorph in this dataset of number 1 (TbHoEr4)?
0.076 eV/atom